A relaxed structure of SrMnTl2Br6. Source: Alexandria via LeMat-Bulk, functional GGA-PBE.

The space group is No. 148. As for the density of states at the Fermi level: 0.00 states/eV/atom. For the formation energy without anion corrections, the calculation gives -1192 meV per atom.

Unit cell a=8.0052 b=8.0068 c=7.8265 alpha=59.19 beta=59.22 gamma=59.97
Last column: nearest neighbours and their distance in Å.
Fractional coordinates of all 10 atoms:
1 Sr 0.8161 0.8162 0.5515  6 Br 3.06
2 Mn 0.3161 0.3161 0.0516  6 Br 2.70
3 Tl 0.5362 0.5358 0.3925  6 Br 3.38-3.42
4 Tl 0.0962 0.0966 0.7106  6 Br 3.38-3.42
5 Br 0.5378 0.1677 0.2975  1 Mn 2.70
6 Br 0.1674 0.9971 0.2984  1 Mn 2.70
7 Br 0.9972 0.5381 0.2975  1 Mn 2.70
8 Br 0.4649 0.6352 0.8046  1 Mn 2.70
9 Br 0.6352 0.0942 0.8055  1 Mn 2.70
10 Br 0.0945 0.4646 0.8055  1 Mn 2.70